# HgPS3 (PBE, relaxed)
data_HgPS3
_chemical_formula_sum 'Hg1 P1 S3'
_cell_length_a 4.939
_cell_length_b 4.939
_cell_length_c 4.939
_cell_angle_alpha 90.00
_cell_angle_beta 90.00
_cell_angle_gamma 90.00
_symmetry_space_group_name_H-M 'P m -3 m'
_symmetry_Int_Tables_number 221
_symmetry_space_group_name_Hall '-P 4 2 3'
loop_
_atom_site_label
_atom_site_type_symbol
_atom_site_fract_x
_atom_site_fract_y
_atom_site_fract_z
Hg1 Hg 0.000 0.000 0.000
P1 P 0.500 0.500 0.500
S1 S 0.000 0.000 0.500
# formation energy (no corrections): 1355 meV per atom
# size of the total moment: 0.524 μB per cell
# calculated total energy: -2.26 eV/atom


# Hg2PS6 (PBE, relaxed)
data_Hg2PS6
_chemical_formula_sum 'Hg4 P2 S12'
_cell_length_a 12.435
_cell_length_b 7.279
_cell_length_c 7.063
_cell_angle_alpha 90.00
_cell_angle_beta 102.78
_cell_angle_gamma 90.00
_symmetry_space_group_name_H-M 'P 1 21/c 1'
_symmetry_Int_Tables_number 14
loop_
_symmetry_equiv_pos_as_xyz
'x,y,z'
'-x,-y,-z'
'-x,y+1/2,-z+1/2'
'x,-y+1/2,z+1/2'
loop_
_atom_site_label
_atom_site_type_symbol
_atom_site_fract_x
_atom_site_fract_y
_atom_site_fract_z
Hg1 Hg 0.003 0.204 0.252
P1 P 0.500 0.000 0.500
S1 S 0.125 0.041 0.796
S2 S 0.383 0.209 0.590
S3 S 0.475 0.067 0.188
# formation energy (no corrections): 136 meV per atom
# size of the total moment: 0.000 μB per cell
# calculated total energy: -3.28 eV/atom


# HgP2S (PBE, relaxed)
data_HgP2S
_chemical_formula_sum 'Hg4 P8 S4'
_cell_length_a 6.573
_cell_length_b 6.573
_cell_length_c 6.573
_cell_angle_alpha 90.00
_cell_angle_beta 90.00
_cell_angle_gamma 90.00
_symmetry_space_group_name_H-M 'F m -3 m'
_symmetry_Int_Tables_number 225
_symmetry_space_group_name_Hall '-F 4 2 3'
loop_
_atom_site_label
_atom_site_type_symbol
_atom_site_fract_x
_atom_site_fract_y
_atom_site_fract_z
Hg1 Hg 0.000 0.000 0.000
P1 P 0.250 0.250 0.250
S1 S 0.000 0.000 0.500
# energy above the most stable polymorph in this dataset: 368 meV/atom
# formation energy (no corrections): 907 meV per atom
# size of the total moment: 0.000 μB per cell
# calculated total energy: -2.90 eV/atom


# HgP2S (PBE, relaxed)
data_HgP2S
_chemical_formula_sum 'Hg4 P8 S4'
_cell_length_a 5.301
_cell_length_b 5.301
_cell_length_c 13.002
_cell_angle_alpha 90.00
_cell_angle_beta 90.00
_cell_angle_gamma 90.00
_symmetry_space_group_name_H-M 'I -4 2 d'
_symmetry_Int_Tables_number 122
_symmetry_space_group_name_Hall 'I -4 2bw'
loop_
_atom_site_label
_atom_site_type_symbol
_atom_site_fract_x
_atom_site_fract_y
_atom_site_fract_z
Hg1 Hg 0.000 0.000 0.000
P1 P 0.199 0.250 0.625
S1 S 0.000 0.000 0.500
# energy above the most stable polymorph in this dataset: 0 meV/atom
# formation energy (no corrections): 540 meV per atom
# size of the total moment: 0.000 μB per cell
# calculated total energy: -3.27 eV/atom


# HgPS2 (PBE, relaxed)
data_HgPS2
_chemical_formula_sum 'Hg4 P4 S8'
_cell_length_a 6.614
_cell_length_b 6.614
_cell_length_c 6.614
_cell_angle_alpha 90.00
_cell_angle_beta 90.00
_cell_angle_gamma 90.00
_symmetry_space_group_name_H-M 'F m -3 m'
_symmetry_Int_Tables_number 225
_symmetry_space_group_name_Hall '-F 4 2 3'
loop_
_atom_site_label
_atom_site_type_symbol
_atom_site_fract_x
_atom_site_fract_y
_atom_site_fract_z
Hg1 Hg 0.000 0.000 0.000
P1 P 0.000 0.000 0.500
S1 S 0.250 0.250 0.250
# energy above the most stable polymorph in this dataset: 824 meV/atom
# formation energy (no corrections): 723 meV per atom
# size of the total moment: 0.000 μB per cell
# calculated total energy: -2.77 eV/atom


# HgP2S2 (PBE, relaxed)
data_HgP2S2
_chemical_formula_sum 'Hg1 P2 S2'
_cell_length_a 4.677
_cell_length_b 4.677
_cell_length_c 4.560
_cell_angle_alpha 90.00
_cell_angle_beta 90.00
_cell_angle_gamma 90.00
_symmetry_space_group_name_H-M 'P 4/m m m'
_symmetry_Int_Tables_number 123
_symmetry_space_group_name_Hall '-P 4 2'
loop_
_atom_site_label
_atom_site_type_symbol
_atom_site_fract_x
_atom_site_fract_y
_atom_site_fract_z
Hg1 Hg 0.000 0.000 0.000
P1 P 0.000 0.500 0.500
S1 S 0.500 0.500 0.000
S2 S 0.500 0.500 0.500
# energy above the most stable polymorph in this dataset: 277 meV/atom
# formation energy (no corrections): 889 meV per atom
# size of the total moment: 1.155 μB per cell
# calculated total energy: -2.99 eV/atom